[1]
DFT (PBE) results for crystalline Li5Pr2Au5 at its relaxed geometry.

Output
Energy relative to the elements (eV/atom): -0.57
Energy (eV per atom): -3.526
Space-group type: Pmmm

a = 4.557 Å, b = 5.349 Å, c = 9.736 Å
α = 90.00°, β = 90.00°, γ = 90.00°
Sites, in units of the cell vectors:
Li (0.000, 0.000, 0.000)
Li (0.000, 0.253, 0.256)
Li (0.000, 0.253, 0.744)
Li (0.000, 0.747, 0.256)
Li (0.000, 0.747, 0.744)
Pr (0.500, 0.000, 0.500)
Pr (0.500, 0.500, 0.000)
Au (0.000, 0.500, 0.500)
Au (0.500, 0.000, 0.169)
Au (0.500, 0.000, 0.831)
Au (0.500, 0.500, 0.318)
Au (0.500, 0.500, 0.682)



[2]
DFT (PBE) results for crystalline Li4Pr3Au4 at its relaxed geometry.

Output
Energy relative to the elements (eV/atom): -0.56
Polymorph energy (0 for the lowest one) (kJ/mol of atoms): 2.26
Energy (eV per atom): -3.747
Space-group type: P-1

a = 3.908 Å, b = 4.352 Å, c = 14.686 Å
α = 81.62°, β = 82.36°, γ = 89.97°
Sites, in units of the cell vectors:
Li (0.096, 0.095, 0.309)
Li (0.248, 0.748, 0.003)
Li (0.752, 0.252, 0.997)
Li (0.904, 0.905, 0.691)
Pr (0.355, 0.356, 0.789)
Pr (0.500, 0.000, 0.500)
Pr (0.645, 0.644, 0.211)
Au (0.052, 0.551, 0.398)
Au (0.187, 0.186, 0.127)
Au (0.813, 0.814, 0.873)
Au (0.948, 0.449, 0.602)



[3]
DFT (PBE) results for crystalline Li4PrAu4 at its relaxed geometry.

Output
Energy relative to the elements (eV/atom): -0.47
Energy (eV per atom): -3.308
Space-group type: P4_2/nmc

a = 6.403 Å, b = 6.403 Å, c = 8.450 Å
α = 90.00°, β = 90.00°, γ = 90.00°
Sites, in units of the cell vectors:
Li (0.011, 0.250, 0.143)
Li (0.250, 0.011, 0.643)
Li (0.250, 0.489, 0.643)
Li (0.489, 0.250, 0.143)
Li (0.511, 0.750, 0.857)
Li (0.750, 0.511, 0.357)
Li (0.750, 0.989, 0.357)
Li (0.989, 0.750, 0.857)
Pr (0.250, 0.750, 0.250)
Pr (0.750, 0.250, 0.750)
Au (0.033, 0.250, 0.451)
Au (0.250, 0.033, 0.951)
Au (0.250, 0.467, 0.951)
Au (0.467, 0.250, 0.451)
Au (0.533, 0.750, 0.549)
Au (0.750, 0.533, 0.049)
Au (0.750, 0.967, 0.049)
Au (0.967, 0.750, 0.549)



[4]
DFT (PBE) results for crystalline Li6PrAu4 at its relaxed geometry.

Output
Energy relative to the elements (eV/atom): -0.49
Energy (eV per atom): -3.159
Space-group type: P-6m2

a = 7.603 Å, b = 7.603 Å, c = 4.041 Å
α = 90.00°, β = 90.00°, γ = 120.00°
Sites, in units of the cell vectors:
Li (0.201, 0.402, 0.000)
Li (0.201, 0.799, 0.000)
Li (0.256, 0.128, 0.500)
Li (0.598, 0.799, 0.000)
Li (0.872, 0.128, 0.500)
Li (0.872, 0.744, 0.500)
Pr (0.667, 0.333, 0.000)
Au (0.000, 0.000, 0.000)
Au (0.053, 0.526, 0.500)
Au (0.474, 0.526, 0.500)
Au (0.474, 0.947, 0.500)



[5]
DFT (PBE) results for crystalline LiPr2Au6 at its relaxed geometry.

Output
Energy relative to the elements (eV/atom): -0.61
Energy (eV per atom): -4.065
Space-group type: P-3m1

a = 6.340 Å, b = 6.340 Å, c = 5.534 Å
α = 90.00°, β = 90.00°, γ = 120.00°
Sites, in units of the cell vectors:
Li (0.000, 0.000, 0.000)
Pr (0.333, 0.667, 0.819)
Pr (0.667, 0.333, 0.181)
Au (0.177, 0.354, 0.303)
Au (0.177, 0.823, 0.303)
Au (0.354, 0.177, 0.697)
Au (0.646, 0.823, 0.303)
Au (0.823, 0.177, 0.697)
Au (0.823, 0.646, 0.697)



[6]
DFT (PBE) results for crystalline Li3PrAu3 at its relaxed geometry.

Output
Energy relative to the elements (eV/atom): -0.48
Polymorph energy (0 for the lowest one) (kJ/mol of atoms): 7.43
Energy (eV per atom): -3.388
Space-group type: R-3

a = 7.902 Å, b = 7.902 Å, c = 7.902 Å
α = 52.36°, β = 52.36°, γ = 52.36°
Sites, in units of the cell vectors:
Li (0.071, 0.588, 0.242)
Li (0.242, 0.071, 0.588)
Li (0.412, 0.758, 0.929)
Li (0.588, 0.242, 0.071)
Li (0.758, 0.929, 0.412)
Li (0.929, 0.412, 0.758)
Pr (0.160, 0.160, 0.160)
Pr (0.840, 0.840, 0.840)
Au (0.188, 0.667, 0.434)
Au (0.333, 0.566, 0.812)
Au (0.434, 0.188, 0.667)
Au (0.566, 0.812, 0.333)
Au (0.667, 0.434, 0.188)
Au (0.812, 0.333, 0.566)



[7]
DFT (PBE) results for crystalline LiPr2Au4 at its relaxed geometry.

Output
Energy relative to the elements (eV/atom): -0.66
Polymorph energy (0 for the lowest one) (kJ/mol of atoms): 0.00
Energy (eV per atom): -4.170
Space-group type: C2/m

a = 5.201 Å, b = 5.201 Å, c = 8.126 Å
α = 118.10°, β = 118.10°, γ = 61.15°
Sites, in units of the cell vectors:
Li (0.000, 0.000, 0.000)
Pr (0.439, 0.439, 0.226)
Pr (0.561, 0.561, 0.774)
Au (0.175, 0.175, 0.381)
Au (0.218, 0.218, 0.768)
Au (0.782, 0.782, 0.232)
Au (0.825, 0.825, 0.619)



[8]
DFT (PBE) results for crystalline Li2PrAu9 at its relaxed geometry.

Output
Energy relative to the elements (eV/atom): -0.37
Energy (eV per atom): -3.541
Space-group type: R-3m

a = 9.864 Å, b = 9.864 Å, c = 9.864 Å
α = 32.60°, β = 32.60°, γ = 32.60°
Sites, in units of the cell vectors:
Li (0.152, 0.152, 0.152)
Li (0.848, 0.848, 0.848)
Pr (0.000, 0.000, 0.000)
Au (0.083, 0.588, 0.588)
Au (0.333, 0.333, 0.333)
Au (0.412, 0.412, 0.917)
Au (0.412, 0.917, 0.412)
Au (0.500, 0.500, 0.500)
Au (0.588, 0.083, 0.588)
Au (0.588, 0.588, 0.083)
Au (0.667, 0.667, 0.667)
Au (0.917, 0.412, 0.412)



[9]
DFT (PBE) results for crystalline LiPrAu2 at its relaxed geometry.

Output
Energy relative to the elements (eV/atom): -0.62
Energy (eV per atom): -3.932
Space-group type: P4/mmm

a = 3.559 Å, b = 3.559 Å, c = 6.767 Å
α = 90.00°, β = 90.00°, γ = 90.00°
Sites, in units of the cell vectors:
Li (0.000, 0.000, 0.000)
Pr (0.000, 0.000, 0.500)
Au (0.500, 0.500, 0.210)
Au (0.500, 0.500, 0.790)



[10]
DFT (PBE) results for crystalline Li6Pr2Au3 at its relaxed geometry.

Output
Energy relative to the elements (eV/atom): -0.40
Energy (eV per atom): -3.207
Space-group type: P-62m

a = 8.088 Å, b = 8.088 Å, c = 4.092 Å
α = 90.00°, β = 90.00°, γ = 120.00°
Sites, in units of the cell vectors:
Li (0.000, 0.204, 0.000)
Li (0.000, 0.736, 0.500)
Li (0.204, 0.000, 0.000)
Li (0.264, 0.264, 0.500)
Li (0.736, 0.000, 0.500)
Li (0.796, 0.796, 0.000)
Pr (0.333, 0.667, 0.000)
Pr (0.667, 0.333, 0.000)
Au (0.000, 0.403, 0.500)
Au (0.403, 0.000, 0.500)
Au (0.597, 0.597, 0.500)



[11]
DFT (PBE) results for crystalline Li4Pr5Au4 at its relaxed geometry.

Output
Energy relative to the elements (eV/atom): -0.49
Energy (eV per atom): -3.928
Space-group type: I4/m

a = 8.991 Å, b = 8.991 Å, c = 8.991 Å
α = 93.05°, β = 93.05°, γ = 153.33°
Sites, in units of the cell vectors:
Li (0.074, 0.596, 0.670)
Li (0.404, 0.074, 0.478)
Li (0.596, 0.926, 0.522)
Li (0.926, 0.404, 0.330)
Pr (0.124, 0.212, 0.336)
Pr (0.212, 0.876, 0.088)
Pr (0.500, 0.500, 0.000)
Pr (0.788, 0.124, 0.912)
Pr (0.876, 0.788, 0.664)
Au (0.241, 0.436, 0.677)
Au (0.436, 0.759, 0.195)
Au (0.564, 0.241, 0.805)
Au (0.759, 0.564, 0.323)



[12]
DFT (PBE) results for crystalline Li2PrAu6 at its relaxed geometry.

Output
Energy relative to the elements (eV/atom): -0.43
Energy (eV per atom): -3.573
Space-group type: P6/mmm

a = 5.554 Å, b = 5.554 Å, c = 7.576 Å
α = 90.00°, β = 90.00°, γ = 120.00°
Sites, in units of the cell vectors:
Li (0.333, 0.667, 0.000)
Li (0.667, 0.333, 0.000)
Pr (0.000, 0.000, 0.500)
Au (0.000, 0.500, 0.290)
Au (0.000, 0.500, 0.710)
Au (0.500, 0.000, 0.290)
Au (0.500, 0.000, 0.710)
Au (0.500, 0.500, 0.290)
Au (0.500, 0.500, 0.710)